<w>
## Tl2FeW (GGA-PBEsol)

Data for a relaxed Tl2FeW crystal.

- calculated volume (A^3/atom) = 18.0
- symmetry = Immm

Cell lengths 3.0545, 5.0604, 5.5072 Å; angles 117.35, 106.10, 90.00 degrees
Site moments in Bohr magnetons follow the coordinates.
Sites, in units of the cell vectors:
W  0.5000  0.0000  0.0000  0.10
Fe  0.0000  0.5000  0.0000  2.39
Tl  0.7325  0.7325  0.4650  -0.02
Tl  0.2675  0.2675  0.5350  -0.02

---

<x>
## Tl2FeW (GGA-PBEsol)

Data for a relaxed Tl2FeW crystal.

- calculated volume (A^3/atom) = 19.7
- symmetry = R3m

Cell lengths 3.2042, 3.2042, 9.0465 Å; angles 79.80, 79.80, 60.00 degrees
Sites, in units of the cell vectors:
Fe  0.2365  0.2365  0.2906
Tl  0.9872  0.9872  0.0385
Tl  0.7578  0.7578  0.7265
W  0.5185  0.5185  0.4444

---

<y>
## Tl2FeW (GGA-PBEsol)

Data for a relaxed Tl2FeW crystal.

- calculated volume (A^3/atom) = 17.6
- symmetry = Fm-3m

Cell lengths 4.6378, 4.6378, 4.6378 Å; angles 60.00, 60.00, 60.00 degrees
Site moments in Bohr magnetons follow the coordinates.
Sites, in units of the cell vectors:
Fe  0.0000  0.0000  0.0000  2.23
Tl  0.7500  0.7500  0.7500  -0.01
Tl  0.2500  0.2500  0.2500  -0.01
W  0.5000  0.5000  0.5000  0.35

---

Which structure loses on stability? <y> does.

---

<w>
## YTl2Fe (GGA-PBEsol)

Data for a relaxed YTl2Fe crystal.

- calculated volume (A^3/atom) = 22.0
- symmetry = I-4m2

Cell lengths 4.3646, 4.3646, 5.5522 Å; angles 113.14, 113.14, 90.00 degrees
Site moments in Bohr magnetons follow the coordinates.
Sites, in units of the cell vectors:
Fe  0.2500  0.7500  0.5000  2.78
Tl  0.0000  0.0000  0.0000  0.00
Tl  0.7500  0.2500  0.5000  -0.02
Y  0.5000  0.5000  0.0000  -0.17

---

<x>
## YTl2Fe (GGA-PBEsol)

Data for a relaxed YTl2Fe crystal.

- calculated volume (A^3/atom) = 21.0
- symmetry = P4/mmm

Cell lengths 3.4471, 3.4471, 7.0658 Å; angles 90.00, 90.00, 90.00 degrees
Site moments in Bohr magnetons follow the coordinates.
Sites, in units of the cell vectors:
Tl  0.0000  0.0000  0.7117  -0.02
Tl  0.0000  0.0000  0.2883  -0.02
Fe  0.5000  0.5000  0.5000  2.44
Y  0.5000  0.5000  0.0000  0.09

---

Which structure loses on stability? <w> does.

---

<w>
## Zr2TlFe (GGA-PBEsol)

Data for a relaxed Zr2TlFe crystal.

- calculated volume (A^3/atom) = 18.7
- symmetry = P4/mmm

Cell lengths 3.0576, 3.0576, 7.9833 Å; angles 90.00, 90.00, 90.00 degrees
Sites, in units of the cell vectors:
Fe  0.5000  0.5000  0.0000
Tl  0.5000  0.5000  0.5000
Zr  0.0000  0.0000  0.7989
Zr  0.0000  0.0000  0.2011

---

<x>
## Zr2TlFe (GGA-PBEsol)

Data for a relaxed Zr2TlFe crystal.

- calculated volume (A^3/atom) = 19.0
- symmetry = Imm2

Cell lengths 3.2485, 4.6919, 5.7463 Å; angles 114.09, 106.42, 90.00 degrees
Site moments in Bohr magnetons follow the coordinates.
Sites, in units of the cell vectors:
Tl  0.2124  0.7124  0.4248  0.00
Zr  0.7927  0.2927  0.5853  -0.17
Zr  0.0025  0.0025  0.0051  -0.20
Fe  0.4924  0.4924  0.9848  1.16

---

Which structure loses on stability? <x> does.

---

<w>
## FeW2 (GGA-PBEsol)

Data for a relaxed FeW2 crystal.

- calculated volume (A^3/atom) = 14.3
- symmetry = P-3m1

Cell lengths 2.6125, 4.3610, 4.3610 Å; angles 120.00, 90.00, 90.00 degrees
Site moments in Bohr magnetons follow the coordinates.
Sites, in units of the cell vectors:
W  0.3251  0.3333  0.6667  0.06
W  0.6749  0.6667  0.3333  0.06
Fe  0.0000  0.0000  0.0000  2.27

---

<x>
## FeW2 (GGA-PBEsol)

Data for a relaxed FeW2 crystal.

- calculated volume (A^3/atom) = 13.9
- symmetry = I4/mcm

Cell lengths 4.7938, 4.8092, 4.8092 Å; angles 75.62, 60.11, 60.11 degrees
Sites, in units of the cell vectors:
W  0.8398  0.5000  0.8203
W  0.1601  0.5000  0.1797
W  0.6602  0.1797  0.5000
W  0.3398  0.8203  0.5000
Fe  0.7500  0.0000  0.0000
Fe  0.2500  0.0000  0.0000

---

Which structure loses on stability? <w> does.

---

<w>
## YFeW2 (GGA-PBEsol)

Data for a relaxed YFeW2 crystal.

- calculated volume (A^3/atom) = 16.4
- symmetry = P4/mmm

Cell lengths 2.8129, 2.8129, 8.2676 Å; angles 90.00, 90.00, 90.01 degrees
Sites, in units of the cell vectors:
Fe  0.5000  0.5000  0.0000
Y  0.5000  0.5000  0.5000
W  0.0000  0.0000  0.1982
W  0.0000  0.0000  0.8018

---

<x>
## YFeW2 (GGA-PBEsol)

Data for a relaxed YFeW2 crystal.

- calculated volume (A^3/atom) = 16.2
- symmetry = P4/mmm

Cell lengths 3.2101, 4.4890, 4.4890 Å; angles 90.00, 90.00, 90.00 degrees
Site moments in Bohr magnetons follow the coordinates.
Sites, in units of the cell vectors:
W  0.0000  0.0000  0.5000  -0.26
W  0.0000  0.5000  0.0000  -0.26
Y  0.5000  0.5000  0.5000  -0.12
Fe  0.5000  0.0000  0.0000  1.70

---

Which structure loses on stability? <x> does.

---

<w>
## ZrFeW2 (GGA-PBEsol)

Data for a relaxed ZrFeW2 crystal.

- calculated volume (A^3/atom) = 15.2
- symmetry = Fm-3m

Cell lengths 4.4167, 4.4167, 4.4167 Å; angles 60.00, 60.00, 60.00 degrees
Site moments in Bohr magnetons follow the coordinates.
Sites, in units of the cell vectors:
Zr  0.5000  0.5000  0.5000  0.03
Fe  0.0000  0.0000  0.0000  1.25
W  0.2500  0.2500  0.2500  -0.15
W  0.7500  0.7500  0.7500  -0.15

---

<x>
## ZrFeW2 (GGA-PBEsol)

Data for a relaxed ZrFeW2 crystal.

- calculated volume (A^3/atom) = 15.5
- symmetry = P4/mmm

Cell lengths 2.7514, 2.7507, 8.1918 Å; angles 90.00, 90.00, 90.00 degrees
Sites, in units of the cell vectors:
Zr  0.5000  0.5000  0.0000
Fe  0.5000  0.5000  0.5000
W  0.0000  0.0000  0.2942
W  0.0000  0.0000  0.7058

---

<y>
## ZrFeW2 (GGA-PBEsol)

Data for a relaxed ZrFeW2 crystal.

- calculated volume (A^3/atom) = 15.4
- symmetry = F-43m

Cell lengths 4.4313, 4.4313, 4.4313 Å; angles 60.00, 60.00, 60.00 degrees
Site moments in Bohr magnetons follow the coordinates.
Sites, in units of the cell vectors:
W  0.0000  0.0000  0.0000  -0.02
W  0.7500  0.7500  0.7500  -0.03
Zr  0.2500  0.2500  0.2500  -0.04
Fe  0.5000  0.5000  0.5000  0.27

---

Which structure loses on stability? <w> does.

---

<w>
## YFe4 (GGA-PBEsol)

Data for a relaxed YFe4 crystal.

- calculated volume (A^3/atom) = 17.6
- symmetry = Im-3m

Cell lengths 4.8499, 4.8499, 4.8499 Å; angles 109.47, 109.47, 109.47 degrees
Site moments in Bohr magnetons follow the coordinates.
Sites, in units of the cell vectors:
Fe  0.0000  0.5000  0.0000  2.45
Fe  0.5000  0.5000  0.5000  2.45
Fe  0.5000  0.0000  0.0000  2.45
Fe  0.0000  0.0000  0.5000  2.45
Y  0.0000  0.0000  0.0000  -0.36

---

<x>
## YFe4 (GGA-PBEsol)

Data for a relaxed YFe4 crystal.

- calculated volume (A^3/atom) = 13.9
- symmetry = I4/m

Cell lengths 4.2007, 4.5819, 4.5819 Å; angles 77.87, 62.72, 62.72 degrees
Site moments in Bohr magnetons follow the coordinates.
Sites, in units of the cell vectors:
Fe  0.1897  0.2531  0.3676  2.29
Fe  0.4427  0.3676  0.7469  2.29
Fe  0.5573  0.6324  0.2531  2.29
Fe  0.8103  0.7469  0.6324  2.29
Y  0.0000  0.0000  0.0000  -0.25

---

Which structure loses on stability? <w> does.

---

<w>
## Ga3Ge (GGA-PBEsol)

Data for a relaxed Ga3Ge crystal.

- calculated volume (A^3/atom) = 18.0
- symmetry = P6_3/mmc

Cell lengths 4.5888, 6.0141, 6.0141 Å; angles 120.00, 90.00, 90.00 degrees
Sites, in units of the cell vectors:
Ge  0.2500  0.6667  0.3333
Ge  0.7500  0.3333  0.6667
Ga  0.2500  0.6671  0.8335
Ga  0.2500  0.1665  0.8335
Ga  0.7500  0.8335  0.1665
Ga  0.7500  0.8335  0.6671
Ga  0.7500  0.3329  0.1665
Ga  0.2500  0.1665  0.3329

---

<x>
## Ga3Ge (GGA-PBEsol)

Data for a relaxed Ga3Ge crystal.

- calculated volume (A^3/atom) = 17.9
- symmetry = Pm-3m

Cell lengths 4.1562, 4.1562, 4.1562 Å; angles 90.00, 90.00, 90.00 degrees
Sites, in units of the cell vectors:
Ga  0.0000  0.5000  0.5000
Ga  0.5000  0.5000  0.0000
Ga  0.5000  0.0000  0.5000
Ge  0.0000  0.0000  0.0000

---

Which structure loses on stability? <w> does.

---

<w>
## Ga2HPdI (GGA-PBEsol)

Data for a relaxed Ga2HPdI crystal.

- calculated volume (A^3/atom) = 25.1
- symmetry = P4/mmm

Cell lengths 4.7856, 4.7856, 5.4777 Å; angles 90.00, 90.00, 90.00 degrees
Site moments in Bohr magnetons follow the coordinates.
Sites, in units of the cell vectors:
Ga  0.0000  0.5000  0.0000  -0.01
Ga  0.5000  0.0000  0.0000  -0.01
I  0.0000  0.0000  0.5000  0.08
Pd  0.0000  0.0000  0.0000  -0.01
H  0.5000  0.5000  0.5000  0.24

---

<x>
## Ga2HPdI (GGA-PBEsol)

Data for a relaxed Ga2HPdI crystal.

- calculated volume (A^3/atom) = 17.3
- symmetry = P4/mmm

Cell lengths 3.9792, 3.9792, 5.4678 Å; angles 90.00, 90.00, 90.00 degrees
Sites, in units of the cell vectors:
Ga  0.0000  0.5000  0.0000
Ga  0.5000  0.0000  0.0000
I  0.0000  0.0000  0.5000
Pd  0.5000  0.5000  0.5000
H  0.0000  0.0000  0.0000

---

Which structure loses on stability? <w> does.

---

<w>
## MnGaH3 (GGA-PBEsol)

Data for a relaxed MnGaH3 crystal.

- calculated volume (A^3/atom) = 9.2
- symmetry = Pm-3m

Cell lengths 3.5848, 3.5848, 3.5848 Å; angles 90.00, 90.00, 90.00 degrees
Site moments in Bohr magnetons follow the coordinates.
Sites, in units of the cell vectors:
H  0.5000  0.0000  0.0000  0.02
H  0.0000  0.5000  0.0000  0.02
H  0.0000  0.0000  0.5000  0.02
Mn  0.5000  0.5000  0.5000  4.05
Ga  0.0000  0.0000  0.0000  0.00

---

<x>
## MnGaH3 (GGA-PBEsol)

Data for a relaxed MnGaH3 crystal.

- calculated volume (A^3/atom) = 7.0
- symmetry = Pm-3m

Cell lengths 3.2682, 3.2682, 3.2682 Å; angles 90.00, 90.00, 90.00 degrees
Site moments in Bohr magnetons follow the coordinates.
Sites, in units of the cell vectors:
H  0.0000  0.5000  0.0000  -0.01
H  0.5000  0.0000  0.0000  -0.01
H  0.0000  0.0000  0.5000  -0.01
Mn  0.0000  0.0000  0.0000  1.07
Ga  0.5000  0.5000  0.5000  -0.02

---

Which structure loses on stability? <w> does.

---

<w>
## Hf2GaPd2 (GGA-PBEsol)

Data for a relaxed Hf2GaPd2 crystal.

- calculated volume (A^3/atom) = 20.5
- symmetry = I4/mmm

Cell lengths 4.4965, 4.4965, 5.9813 Å; angles 112.08, 112.08, 90.00 degrees
Sites, in units of the cell vectors:
Pd  0.6206  0.6206  0.2413
Pd  0.3794  0.3794  0.7587
Hf  0.7500  0.2500  0.5000
Hf  0.2500  0.7500  0.5000
Ga  0.0000  0.0000  0.0000

---

<x>
## Hf2GaPd2 (GGA-PBEsol)

Data for a relaxed Hf2GaPd2 crystal.

- calculated volume (A^3/atom) = 17.6
- symmetry = P4/mbm

Cell lengths 3.3378, 7.2631, 7.2631 Å; angles 90.00, 90.00, 90.00 degrees
Sites, in units of the cell vectors:
Pd  0.0000  0.1302  0.3698
Pd  0.0000  0.6302  0.1302
Pd  0.0000  0.8698  0.6302
Pd  0.0000  0.3698  0.8698
Ga  0.0000  0.5000  0.5000
Ga  0.0000  0.0000  0.0000
Hf  0.5000  0.6709  0.8291
Hf  0.5000  0.3291  0.1709
Hf  0.5000  0.1709  0.6709
Hf  0.5000  0.8291  0.3291

---

Which structure loses on stability? <w> does.

---

<w>
## HfGaTe3 (GGA-PBEsol)

Data for a relaxed HfGaTe3 crystal.

- calculated volume (A^3/atom) = 27.6
- symmetry = Pm-3m

Cell lengths 5.1702, 5.1702, 5.1702 Å; angles 90.00, 90.00, 90.00 degrees
Sites, in units of the cell vectors:
Te  0.5000  0.0000  0.0000
Te  0.0000  0.0000  0.5000
Te  0.0000  0.5000  0.0000
Ga  0.0000  0.0000  0.0000
Hf  0.5000  0.5000  0.5000

---

<x>
## HfGaTe3 (GGA-PBEsol)

Data for a relaxed HfGaTe3 crystal.

- calculated volume (A^3/atom) = 33.5
- symmetry = Pm-3m

Cell lengths 5.5099, 5.5099, 5.5099 Å; angles 90.00, 90.00, 90.00 degrees
Sites, in units of the cell vectors:
Te  0.0000  0.5000  0.0000
Te  0.0000  0.0000  0.5000
Te  0.5000  0.0000  0.0000
Ga  0.5000  0.5000  0.5000
Hf  0.0000  0.0000  0.0000

---

Which structure loses on stability? <w> does.

---

<w>
## In2GaHg2 (GGA-PBEsol)

Data for a relaxed In2GaHg2 crystal.

- calculated volume (A^3/atom) = 24.0
- symmetry = P4/mbm

Cell lengths 4.3976, 7.3854, 7.3854 Å; angles 90.00, 90.00, 90.00 degrees
Sites, in units of the cell vectors:
In  0.5000  0.8347  0.3347
In  0.5000  0.3347  0.1653
In  0.5000  0.1653  0.6653
In  0.5000  0.6653  0.8347
Hg  0.0000  0.8567  0.6433
Hg  0.0000  0.1433  0.3567
Hg  0.0000  0.6433  0.1433
Hg  0.0000  0.3567  0.8567
Ga  0.0000  0.5000  0.5000
Ga  0.0000  0.0000  0.0000

---

<x>
## In2GaHg2 (GGA-PBEsol)

Data for a relaxed In2GaHg2 crystal.

- calculated volume (A^3/atom) = 25.1
- symmetry = I4/mmm

Cell lengths 4.2830, 4.2830, 7.4766 Å; angles 106.64, 106.64, 90.00 degrees
Sites, in units of the cell vectors:
In  0.2500  0.7500  0.5000
In  0.7500  0.2500  0.5000
Hg  0.5998  0.5998  0.1997
Hg  0.4002  0.4002  0.8003
Ga  0.0000  0.0000  0.0000

---

Which structure loses on stability? <x> does.